1.
The following is a PBE calculation of crystalline TbTlPb at its relaxed geometry, from the Alexandria database.

a b c (Å): 4.640 16.487 4.472
angles (deg): 90.00 90.00 90.00
Space group Cmcm (No. 63)
Unique sites:
Tb1 0.000 0.091 0.250 x4
Tl1 0.000 0.255 0.750 x4
Pb1 0.000 0.427 0.250 x4

Results
- energy above the lowest structure with this stoichiometry (kJ/mol of atoms) = 0.0



2.
The following is a PBE calculation of crystalline Ba4Se3S at its relaxed geometry, from the Alexandria database.

a b c (Å): 9.379 13.265 4.685
angles (deg): 90.00 90.00 90.00
Space group Cmmm (No. 65)
Unique sites:
Ba1 0.000 0.247 0.000 x4
Ba2 0.245 0.000 0.500 x4
Se1 0.000 0.500 0.000 x2
Se2 0.250 0.250 0.500 x4
S1 0.000 0.000 0.000 x2

Results
- uncorrected formation energy (eV/atom) = -2.054



3.
The following is a PBE calculation of crystalline Hf3Sn2Mo at its relaxed geometry, from the Alexandria database.

a b c (Å): 14.617 5.908 6.127
angles (deg): 90.00 104.80 90.00
Space group C2/c (No. 15)
Unique sites:
Hf1 0.000 0.178 0.250 x4
Hf2 0.160 0.411 0.599 x8
Sn1 0.159 0.092 0.017 x8
Mo1 0.000 0.364 0.750 x4



4.
The following is a PBE calculation of crystalline KAl2Hg at its relaxed geometry, from the Alexandria database.

a b c (Å): 8.696 3.141 7.861
angles (deg): 90.00 96.17 90.00
Space group Cm (No. 8)
Unique sites:
K1 0.000 0.000 0.000 x2
Al1 0.001 0.500 0.527 x2
Al2 0.237 0.000 0.672 x2
Hg1 0.260 0.500 0.315 x2



Number 1: size of the total moment 0.00 μB/cell, final energy -3.886 eV/atom. Number 2: size of the total moment 0.00 μB/cell, final energy -4.838 eV/atom. Number 3: size of the total moment 0.00 μB/cell, final energy -8.311 eV/atom. Number 4: size of the total moment 0.00 μB/cell, final energy -2.108 eV/atom.